Record 1
The following is a PBE-GGA calculation of a geometry-optimized YMgAlHg structure, from Alexandria via LeMat-Bulk.

Unit cell a=5.033 b=5.033 c=5.033 alpha=60.00 beta=60.00 gamma=60.00
Atoms (fractional coordinates):
Y 0.000 0.000 0.000
Mg 0.500 0.500 0.500
Al 0.250 0.250 0.250
Hg 0.750 0.750 0.750

Output
Space-group type   F-43m (216)
N(E_F)   1.2 states/eV per cell
ΔE_f   -0.320 eV/atom
M_tot   0.00 μB per atom

Record 2
The following is a PBE-GGA calculation of a geometry-optimized MnBe2Ag structure, from Alexandria via LeMat-Bulk.

Unit cell a=4.548 b=4.548 c=4.548 alpha=133.61 beta=133.61 gamma=67.70
Atoms (fractional coordinates):
Mn 0.000 0.000 0.000
Be 0.500 0.500 0.000
Be 0.750 0.250 0.500
Ag 0.250 0.750 0.500

Output
Space-group type   I-4m2 (119)
N(E_F)   2.5 states/eV per cell
ΔE_f   0.299 eV/atom
M_tot   0.79 μB per atom

Record 3
The following is a PBE-GGA calculation of a geometry-optimized HfScBO2 structure, from Alexandria via LeMat-Bulk.

Unit cell a=3.939 b=3.939 c=4.290 alpha=90.00 beta=90.00 gamma=90.00
Atoms (fractional coordinates):
Hf 0.000 0.000 0.000
Sc 0.500 0.500 0.000
B 0.000 0.000 0.500
O 0.000 0.500 0.500
O 0.500 0.000 0.500

Output
Space-group type   P4/mmm (123)
N(E_F)   3.4 states/eV per cell
Formation energy (no corrections)   0.22 eV per atom
M_tot   0.00 μB per atom

Record 4
The following is a PBE-GGA calculation of a geometry-optimized BaPm2SmTl4 structure, from Alexandria via LeMat-Bulk.

Unit cell a=9.813 b=9.813 c=9.813 alpha=33.22 beta=33.22 gamma=33.22
Atoms (fractional coordinates):
Ba 0.000 0.000 0.000
Pm 0.250 0.250 0.250
Pm 0.750 0.750 0.750
Sm 0.500 0.500 0.500
Tl 0.129 0.129 0.129
Tl 0.382 0.382 0.382
Tl 0.618 0.618 0.618
Tl 0.871 0.871 0.871

Output
Space-group type   R-3m (166)
N(E_F)   7.0 states/eV per cell
ΔE_f   -0.318 eV/atom
M_tot   0.00 μB per atom

Record 5
The following is a PBE-GGA calculation of a geometry-optimized PrSiGeRh2 structure, from Alexandria via LeMat-Bulk.

Unit cell a=4.151 b=4.151 c=6.590 alpha=90.00 beta=90.00 gamma=90.00
Atoms (fractional coordinates):
Pr 0.000 0.000 0.000
Si 0.000 0.000 0.543
Ge 0.500 0.500 0.164
Rh 0.000 0.500 0.375
Rh 0.500 0.000 0.375

Output
Space-group type   P4mm (99)
N(E_F)   2.5 states/eV per cell
Formation energy (no corrections)   -0.60 eV per atom
M_tot   0.00 μB per atom

Record 6
The following is a PBE-GGA calculation of a geometry-optimized MgW3C structure, from Alexandria via LeMat-Bulk.

Unit cell a=4.200 b=4.200 c=4.200 alpha=90.00 beta=90.00 gamma=90.00
Atoms (fractional coordinates):
Mg 0.000 0.000 0.000
W 0.000 0.500 0.500
W 0.500 0.000 0.500
W 0.500 0.500 0.000
C 0.500 0.500 0.500

Output
Space-group type   Pm-3m (221)
N(E_F)   3.2 states/eV per cell
ΔE_f   0.361 eV/atom
M_tot   0.00 μB per atom

Record 7
The following is a PBE-GGA calculation of a geometry-optimized PmAgO3 structure, from Alexandria via LeMat-Bulk.

Unit cell a=3.621 b=4.413 c=9.122 alpha=90.00 beta=90.00 gamma=90.00
Atoms (fractional coordinates):
Pm 0.250 0.250 0.126
Pm 0.750 0.750 0.874
Ag 0.250 0.750 0.421
Ag 0.750 0.250 0.579
O 0.250 0.576 0.695
O 0.250 0.750 0.034
O 0.250 0.924 0.695
O 0.750 0.076 0.305
O 0.750 0.250 0.966
O 0.750 0.424 0.305

Output
Space-group type   Pmmn (59)
Formation energy (no corrections)   -1.58 eV per atom
M_tot   0.00 μB per atom

Record 8
The following is a PBE-GGA calculation of a geometry-optimized Pm3Zn8Cu structure, from Alexandria via LeMat-Bulk.

Unit cell a=9.465 b=9.465 c=9.465 alpha=33.45 beta=33.45 gamma=33.45
Atoms (fractional coordinates):
Pm 0.000 0.000 0.000
Pm 0.128 0.128 0.128
Pm 0.612 0.612 0.612
Zn 0.060 0.060 0.557
Zn 0.060 0.557 0.060
Zn 0.062 0.562 0.562
Zn 0.310 0.310 0.310
Zn 0.557 0.060 0.060
Zn 0.562 0.062 0.562
Zn 0.562 0.562 0.062
Zn 0.811 0.811 0.811
Cu 0.488 0.488 0.488

Output
Space-group type   R3m (160)
N(E_F)   4.2 states/eV per cell
ΔE_f   -0.230 eV/atom
M_tot   0.00 μB per atom

Record 9
The following is a PBE-GGA calculation of a geometry-optimized NaNdBi2 structure, from Alexandria via LeMat-Bulk.

Unit cell a=5.592 b=5.592 c=5.592 alpha=60.00 beta=60.00 gamma=60.00
Atoms (fractional coordinates):
Na 0.000 0.000 0.000
Nd 0.500 0.500 0.500
Bi 0.250 0.250 0.250
Bi 0.750 0.750 0.750

Output
Space-group type   Fm-3m (225)
N(E_F)   4.9 states/eV per cell
ΔE_f   -0.452 eV/atom
M_tot   0.00 μB per atom

Record 10
The following is a PBE-GGA calculation of a geometry-optimized MgB6Mo2 structure, from Alexandria via LeMat-Bulk.

Unit cell a=5.305 b=5.305 c=3.270 alpha=90.00 beta=90.00 gamma=120.00
Atoms (fractional coordinates):
Mg 0.000 0.000 0.000
B 0.000 0.332 0.500
B 0.000 0.668 0.500
B 0.332 0.000 0.500
B 0.332 0.332 0.500
B 0.668 0.000 0.500
B 0.668 0.668 0.500
Mo 0.333 0.667 0.000
Mo 0.667 0.333 0.000

Output
Space-group type   P6/mmm (191)
N(E_F)   3.1 states/eV per cell
ΔE_f   -0.306 eV/atom
M_tot   0.00 μB per atom

Record 11
The following is a PBE-GGA calculation of a geometry-optimized InPdPb3 structure, from Alexandria via LeMat-Bulk.

Unit cell a=5.411 b=5.411 c=5.411 alpha=90.00 beta=90.00 gamma=90.00
Atoms (fractional coordinates):
In 0.000 0.000 0.000
Pd 0.500 0.500 0.500
Pb 0.000 0.500 0.500
Pb 0.500 0.000 0.500
Pb 0.500 0.500 0.000

Output
Space-group type   Pm-3m (221)
N(E_F)   4.0 states/eV per cell
ΔE_f   0.091 eV/atom
M_tot   0.00 μB per atom

Record 12
The following is a PBE-GGA calculation of a geometry-optimized Ca3MgSn2 structure, from Alexandria via LeMat-Bulk.

Unit cell a=9.326 b=9.326 c=9.326 alpha=137.05 beta=61.87 gamma=137.69
Atoms (fractional coordinates):
Ca 0.176 0.726 0.903
Ca 0.250 0.250 0.000
Ca 0.324 0.226 0.550
Ca 0.676 0.774 0.450
Ca 0.750 0.750 0.000
Ca 0.824 0.274 0.097
Mg 0.250 0.750 0.500
Mg 0.750 0.250 0.500
Sn 0.123 0.258 0.382
Sn 0.377 0.758 0.135
Sn 0.623 0.242 0.865
Sn 0.877 0.742 0.618

Output
Space-group type   Ibam (72)
N(E_F)   0.6 states/eV per cell
ΔE_f   -0.540 eV/atom
M_tot   0.00 μB per atom

Record 13
The following is a PBE-GGA calculation of a geometry-optimized Mn2Tl2Pb structure, from Alexandria via LeMat-Bulk.

Unit cell a=8.105 b=8.105 c=3.481 alpha=90.00 beta=90.00 gamma=90.00
Atoms (fractional coordinates):
Mn 0.120 0.380 0.000
Mn 0.380 0.880 0.000
Mn 0.620 0.120 0.000
Mn 0.880 0.620 0.000
Tl 0.177 0.677 0.500
Tl 0.323 0.177 0.500
Tl 0.677 0.823 0.500
Tl 0.823 0.323 0.500
Pb 0.000 0.000 0.000
Pb 0.500 0.500 0.000

Output
Space-group type   P4/mbm (127)
N(E_F)   13.5 states/eV per cell
ΔE_f   0.445 eV/atom
M_tot   1.51 μB per atom